Record 1
The following is a PBE-GGA calculation of an optimized crystal structure of CoNiRh2N, from the Alexandria database.

Calculated values
* electronic total energy: -6.950 eV per atom
* E_form (uncorrected): 1.2 eV per formula unit

Cell lengths 4.040, 4.040, 3.693 Å; angles 90.00, 90.00, 90.00 degrees
Space group P4/mmm (No. 123)
Inequivalent atoms, fractional coordinates:
Co1 0.000 0.000 0.000 [1 per cell]
Ni1 0.500 0.500 0.000 [1 per cell]
Rh1 0.000 0.500 0.500 [2 per cell]
N1 0.000 0.000 0.500 [1 per cell]

Record 2
The following is a PBE-GGA calculation of an optimized crystal structure of Co2NiRhN, from the Alexandria database.

Calculated values
* electronic total energy: -6.978 eV per atom
* E_form (uncorrected): 0.8 eV per formula unit
* excess energy over the best structure of this formula in the dataset: 0.048 eV per atom

Cell lengths 3.738, 3.738, 4.010 Å; angles 90.00, 90.00, 90.00 degrees
Space group P4/mmm (No. 123)
Inequivalent atoms, fractional coordinates:
Co1 0.000 0.500 0.000 [2 per cell]
Ni1 0.000 0.000 0.500 [1 per cell]
Rh1 0.500 0.500 0.500 [1 per cell]
N1 0.500 0.500 0.000 [1 per cell]